## RbTl2Zn (GGA-PBE)

Data for a relaxed structure of RbTl2Zn.

Lattice parameters (Å, degrees): 6.184 6.184 10.219 72.39 72.39 90.00
Fractional positions:
Tl1 0.374 0.125 0.250
Tl2 0.376 0.625 0.250
Tl3 0.375 0.626 0.750
Tl4 0.875 0.624 0.750
Zn1 0.500 0.500 0.000
Zn2 0.250 0.750 0.500
Rb1 0.000 0.000 0.000
Rb2 0.750 0.250 0.500

For the total DFT energy (no corrections), the calculation gives -12.76 eV per cell. The calculation puts the energy of formation at 14.29 kJ/mol of atoms. As for the space group: I-42d (122). The offset from the most stable computed form is 0.63 eV/f.u. The total moment is 0.00 μB/cell.